# MgTlMo2

A relaxed structure of MgTlMo2 (GGA-PBE, the Alexandria database).

abc: 9.847 9.847 9.847
angles: 17.37 17.37 17.37
Element x y z (fractional)
Mg 0.750 0.750 0.750
Mo 0.001 0.001 0.001
Mo 0.499 0.499 0.499
Tl 0.250 0.250 0.250

Summary:
ΔE to the lowest computed polymorph = 0.425 eV per atom
Energy of formation from the pure elements = 0.7091 eV/atom
Total energy = -5.697 eV/atom
DOS at the Fermi energy = 5.374 states/eV per cell